# 1
Material: Si2GePd
Method: DFT, GGA-PBE
State: optimized geometry

## Properties
As for the raw total energy: -5.07 eV per atom. As for the formation energy (no corrections): 0.098 eV per atom.

Cell and atoms, written as CIF:
```
data_Si2GePd
_symmetry_space_group_name_H-M 'I -4 2 d'
_symmetry_Int_Tables_number 122
_symmetry_space_group_name_Hall 'I -4 2bw'
_cell_length_a 5.6689
_cell_length_b 5.6689
_cell_length_c 10.4758
_cell_angle_alpha 90.00
_cell_angle_beta 90.00
_cell_angle_gamma 90.00
loop_
_atom_site_label
_atom_site_type_symbol
_atom_site_fract_x
_atom_site_fract_y
_atom_site_fract_z
Si1 Si 0.2397 0.2500 0.1250
Ge1 Ge 0.0000 0.0000 0.5000
Pd1 Pd 0.0000 0.0000 0.0000
```

# 2
Material: ZrTeMo2
Method: DFT, GGA-PBE
State: optimized geometry

## Properties
As for the raw total energy: -8.09 eV per atom. As for the formation energy (no corrections): 0.247 eV per atom.

Cell and atoms, written as CIF:
```
data_ZrTeMo2
_symmetry_space_group_name_H-M 'C m m 2'
_symmetry_Int_Tables_number 35
_symmetry_space_group_name_Hall 'C 2 -2'
_cell_length_a 3.4569
_cell_length_b 5.1672
_cell_length_c 8.8880
_cell_angle_alpha 90.00
_cell_angle_beta 90.00
_cell_angle_gamma 90.00
loop_
_atom_site_label
_atom_site_type_symbol
_atom_site_fract_x
_atom_site_fract_y
_atom_site_fract_z
Zr1 Zr 0.0000 0.0000 0.0000
Te1 Te 0.0000 0.5000 0.2705
Mo1 Mo 0.0000 0.0000 0.5414
Mo2 Mo 0.0000 0.5000 0.7489
```

# 3
Material: AcNd2Sm9
Method: DFT, GGA-PBE
State: optimized geometry

## Properties
As for the formation energy: 24 meV per atom. As for the raw total energy: -4.65 eV per atom.

Cell and atoms, written as CIF:
```
data_AcNd2Sm9
_symmetry_space_group_name_H-M 'P 4/m m m'
_symmetry_Int_Tables_number 123
_symmetry_space_group_name_Hall '-P 4 2'
_cell_length_a 5.1800
_cell_length_b 5.1800
_cell_length_c 15.5570
_cell_angle_alpha 90.00
_cell_angle_beta 90.00
_cell_angle_gamma 90.00
loop_
_atom_site_label
_atom_site_type_symbol
_atom_site_fract_x
_atom_site_fract_y
_atom_site_fract_z
Ac1 Ac 0.0000 0.0000 0.0000
Nd1 Nd 0.0000 0.0000 0.3351
Sm1 Sm 0.0000 0.5000 0.1717
Sm2 Sm 0.0000 0.5000 0.5000
Sm3 Sm 0.5000 0.5000 0.0000
Sm4 Sm 0.5000 0.5000 0.3360
```

Number 1: volume 21.041 A^3/atom. Number 2: volume 19.845 A^3/atom. Number 3: volume 34.786 A^3/atom.